Here is AlPIrO after structural relaxation from OQMD via LeMat-Bulk. Energies are from GGA-PBE.

```
AlPIrO
1.0
3.826 0.000 0.000
0.000 3.826 0.000
0.000 0.000 8.509
Al Ir O P
2 2 2 2
Direct
0.000 0.000 0.072
0.500 0.500 0.928
0.500 0.000 0.500
0.000 0.500 0.500
0.500 0.000 0.000
0.000 0.500 0.000
0.000 0.000 0.345
0.500 0.500 0.655
```

As for the crystal system: tetragonal. The total energy is -7.04 eV per atom. The calculation puts the energy above the lowest structure with this stoichiometry at 0.00 kcal/mol of atoms. The symmetry is P4/nmm, No. 129.

---

Here is AlPIrO after structural relaxation from OQMD via LeMat-Bulk. Energies are from GGA-PBE.

```
AlPIrO
1.0
-0.423 3.549 1.579
0.487 -1.527 3.564
7.377 1.114 -0.530
Al Ir O P
2 2 2 2
Direct
0.000 0.000 0.500
0.500 0.500 0.500
0.000 0.500 0.112
0.500 0.000 0.888
0.000 0.000 0.000
0.500 0.500 0.000
0.500 0.000 0.304
0.000 0.500 0.696
```

As for the crystal system: tetragonal. The total energy is -5.47 eV per atom. The calculation puts the energy above the lowest structure with this stoichiometry at 36.14 kcal/mol of atoms. The symmetry is P4/nmm, No. 129.

---

Here is AlPIrO after structural relaxation from OQMD via LeMat-Bulk. Energies are from GGA-PBE.

```
AlPIrO
1.0
3.056 0.000 0.000
0.000 6.602 0.000
0.000 0.000 5.818
Al Ir O P
2 2 2 2
Direct
0.000 0.886 0.029
0.000 0.114 0.529
0.500 0.515 0.409
0.500 0.485 0.909
0.500 0.190 0.403
0.500 0.810 0.903
0.000 0.765 0.413
0.000 0.235 0.913
```

As for the crystal system: orthorhombic. The total energy is -6.64 eV per atom. The calculation puts the energy above the lowest structure with this stoichiometry at 9.21 kcal/mol of atoms. The symmetry is Pmc2_1, No. 26.

---

Here is AlPIrO after structural relaxation from OQMD via LeMat-Bulk. Energies are from GGA-PBE.

```
AlPIrO
1.0
-2.385 1.050 2.762
1.940 -2.121 2.481
4.219 5.622 1.507
Al Ir O P
2 2 2 2
Direct
0.750 0.250 0.500
0.250 0.750 0.500
0.250 0.250 0.277
0.750 0.750 0.723
0.750 0.250 0.000
0.250 0.750 0.000
0.750 0.750 0.141
0.250 0.250 0.859
```

As for the crystal system: tetragonal. The total energy is -5.81 eV per atom. The calculation puts the energy above the lowest structure with this stoichiometry at 28.21 kcal/mol of atoms. The symmetry is P4/nmm, No. 129.

---

Here is AlIrOs2 after structural relaxation from OQMD via LeMat-Bulk. Energies are from GGA-PBE.

```
AlIrOs2
1.0
1.823 1.007 3.825
-2.122 2.553 2.819
-1.599 -1.683 3.685
Al Ir Os
1 1 2
Direct
0.500 0.500 0.500
0.250 0.250 0.250
0.000 0.000 0.000
0.750 0.750 0.750
```

As for the crystal system: cubic. The total energy is -8.57 eV per atom. The symmetry is F-43m, No. 216.

---

Here is AlIr2Os after structural relaxation from OQMD via LeMat-Bulk. Energies are from GGA-PBE.

```
AlIr2Os
1.0
0.599 -4.198 -0.990
1.581 -2.739 2.994
-2.582 -3.039 1.750
Al Ir Os
1 2 1
Direct
0.500 0.500 0.500
0.000 0.000 0.000
0.750 0.750 0.750
0.250 0.250 0.250
```

As for the crystal system: cubic. The total energy is -8.11 eV per atom. The symmetry is F-43m, No. 216.

---

Here is Tm2AlIrOs after structural relaxation from OQMD via LeMat-Bulk. Energies are from GGA-PBE.

```
Tm2AlIrOs
1.0
2.256 -3.879 3.182
-4.168 2.854 2.179
0.589 -4.044 -3.682
Al Ir Os Tm
1 1 1 2
Direct
0.994 0.994 0.000
0.271 0.771 0.500
0.726 0.226 0.500
0.709 0.504 0.205
0.300 0.504 0.795
```

As for the crystal system: orthorhombic. The total energy is -7.27 eV per atom. The symmetry is Imm2, No. 44.

---

Here is AlP6Ir after structural relaxation from OQMD via LeMat-Bulk. Energies are from GGA-PBE.

```
AlP6Ir
1.0
0.000 4.169 4.169
4.169 0.000 4.169
4.169 4.169 0.000
Al Ir P
1 1 6
Direct
0.250 0.250 0.250
0.500 0.500 0.500
0.787 0.213 0.213
0.213 0.787 0.213
0.787 0.787 0.213
0.213 0.213 0.787
0.787 0.213 0.787
0.213 0.787 0.787
```

As for the crystal system: cubic. The total energy is -5.16 eV per atom. The symmetry is F-43m, No. 216.

---

Here is Al4Ir3Pd after structural relaxation from OQMD via LeMat-Bulk. Energies are from GGA-PBE.

```
Al4Ir3Pd
1.0
3.441 1.987 2.818
-3.441 1.987 2.818
0.000 -3.974 2.818
Al Ir Pd
4 3 1
Direct
0.162 0.162 0.162
0.649 0.845 0.339
0.845 0.339 0.649
0.339 0.649 0.845
0.656 0.358 0.137
0.137 0.656 0.358
0.358 0.137 0.656
0.854 0.854 0.854
```

As for the crystal system: trigonal. The total energy is -6.67 eV per atom. The symmetry is R3, No. 146.

---

Here is Al2IrPd after structural relaxation from OQMD via LeMat-Bulk. Energies are from GGA-PBE.

```
Al2IrPd
1.0
2.649 2.592 2.333
-1.253 1.428 3.946
1.950 -1.540 3.607
Al Ir Pd
2 1 1
Direct
0.000 0.000 0.000
0.250 0.250 0.250
0.500 0.500 0.500
0.750 0.750 0.750
```

As for the crystal system: cubic. The total energy is -5.76 eV per atom. The symmetry is F-43m, No. 216.

---

Here is Al4IrPd3 after structural relaxation from OQMD via LeMat-Bulk. Energies are from GGA-PBE.

```
Al4IrPd3
1.0
3.478 2.008 2.786
-3.478 2.008 2.786
0.000 -4.016 2.786
Al Ir Pd
4 1 3
Direct
0.346 0.846 0.165
0.846 0.165 0.346
0.652 0.652 0.652
0.165 0.346 0.846
0.351 0.351 0.351
0.849 0.651 0.141
0.141 0.849 0.651
0.651 0.141 0.849
```

As for the crystal system: trigonal. The total energy is -5.81 eV per atom. The symmetry is R3, No. 146.

---

Here is AlIr2Pd after structural relaxation from OQMD via LeMat-Bulk. Energies are from GGA-PBE.

```
AlIr2Pd
1.0
0.000 3.094 3.094
3.094 0.000 3.094
3.094 3.094 0.000
Al Ir Pd
1 2 1
Direct
0.500 0.500 0.500
0.000 0.000 0.000
0.750 0.750 0.750
0.250 0.250 0.250
```

As for the crystal system: cubic. The total energy is -6.81 eV per atom. The symmetry is F-43m, No. 216.

---

Here is Sc3Al3Ir2Pd after structural relaxation from OQMD via LeMat-Bulk. Energies are from GGA-PBE.

```
Sc3Al3Ir2Pd
1.0
-5.864 3.672 -0.237
-0.156 -6.651 1.917
0.497 1.026 3.600
Al Ir Pd Sc
3 2 1 3
Direct
0.745 0.000 0.500
0.255 0.255 0.500
0.000 0.745 0.500
0.667 0.333 0.500
0.333 0.667 0.500
0.000 0.000 0.000
0.414 0.000 0.000
0.000 0.414 0.000
0.586 0.586 0.000
```

As for the crystal system: hexagonal. The total energy is -6.80 eV per atom. The symmetry is P-62m, No. 189.

---

Here is Sc3Al3IrPd2 after structural relaxation from OQMD via LeMat-Bulk. Energies are from GGA-PBE.

```
Sc3Al3IrPd2
1.0
6.889 0.000 0.000
-3.445 5.966 0.000
0.000 0.000 3.876
Al Ir Pd Sc
3 1 2 3
Direct
0.754 0.000 0.500
0.246 0.246 0.500
0.000 0.754 0.500
0.000 0.000 0.000
0.667 0.333 0.500
0.333 0.667 0.500
0.404 0.000 0.000
0.000 0.404 0.000
0.596 0.596 0.000
```

As for the crystal system: hexagonal. The total energy is -6.38 eV per atom. The symmetry is P-62m, No. 189.

---

Here is Y3AlSn2IrPd2 after structural relaxation from OQMD via LeMat-Bulk. Energies are from GGA-PBE.

```
Y3AlSn2IrPd2
1.0
-1.895 0.323 -3.988
-5.435 -4.115 2.249
-0.315 7.134 0.727
Al Ir Pd Sn Y
1 1 2 2 3
Direct
0.500 0.201 0.201
0.000 0.033 0.033
0.500 0.996 0.761
0.500 0.761 0.996
0.500 0.660 0.329
0.500 0.329 0.660
0.000 0.994 0.391
0.000 0.635 0.635
0.000 0.391 0.994
```

As for the crystal system: orthorhombic. The total energy is -6.39 eV per atom. The symmetry is Amm2, No. 38.

---

Here is SrAl5IrPd after structural relaxation from OQMD via LeMat-Bulk. Energies are from GGA-PBE.

```
SrAl5IrPd
1.0
-3.503 -5.055 2.356
1.463 0.410 6.408
-3.089 3.047 -4.955
Al Ir Pd Sr
5 1 1 1
Direct
0.529 0.342 0.187
0.848 0.654 0.194
0.503 0.003 0.500
0.460 0.654 0.806
0.155 0.342 0.813
0.266 0.766 0.500
0.739 0.239 0.500
0.000 0.000 0.000
```

As for the crystal system: orthorhombic. The total energy is -4.96 eV per atom. The symmetry is Imm2, No. 44.

---

Here is Sr2Al4IrPd after structural relaxation from OQMD via LeMat-Bulk. Energies are from GGA-PBE.

```
Sr2Al4IrPd
1.0
-4.014 4.036 -4.710
-3.722 1.566 4.514
-0.534 4.348 4.181
Al Ir Pd Sr
4 1 1 2
Direct
0.185 0.179 0.179
0.815 0.179 0.179
0.306 0.822 0.822
0.694 0.822 0.822
0.000 0.719 0.719
0.500 0.280 0.280
0.000 0.450 0.450
0.500 0.550 0.550
```

As for the crystal system: orthorhombic. The total energy is -4.68 eV per atom. The symmetry is Amm2, No. 38.

---

Here is Tb2Al2Ir3Pd after structural relaxation from OQMD via LeMat-Bulk. Energies are from GGA-PBE.

```
Tb2Al2Ir3Pd
1.0
-1.401 2.839 2.905
-2.773 -2.678 -1.898
1.389 -6.232 6.761
Al Ir Pd Tb
2 3 1 2
Direct
0.333 0.667 0.498
0.333 0.667 0.986
0.000 0.000 0.422
0.667 0.333 0.586
0.667 0.333 0.918
0.000 0.000 0.085
0.667 0.333 0.256
0.000 0.000 0.749
```

As for the crystal system: trigonal. The total energy is -6.85 eV per atom. The symmetry is P3m1, No. 156.

---

Here is Y3Al3Ir2Pd after structural relaxation from OQMD via LeMat-Bulk. Energies are from GGA-PBE.

```
Y3Al3Ir2Pd
1.0
7.106 0.000 0.000
-3.553 6.154 0.000
0.000 0.000 4.018
Al Ir Pd Y
3 2 1 3
Direct
0.247 0.000 0.500
0.000 0.247 0.500
0.753 0.753 0.500
0.667 0.333 0.500
0.333 0.667 0.500
0.000 0.000 0.000
0.583 0.000 0.000
0.417 0.417 0.000
0.000 0.583 0.000
```

As for the crystal system: hexagonal. The total energy is -6.83 eV per atom. The symmetry is P-62m, No. 189.

---

Here is Y2Al2Ir3Pd after structural relaxation from OQMD via LeMat-Bulk. Energies are from GGA-PBE.

```
Y2Al2Ir3Pd
1.0
-0.877 -0.114 4.204
-0.664 -3.482 -2.428
8.659 -2.856 1.729
Al Ir Pd Y
2 3 1 2
Direct
0.333 0.667 0.499
0.333 0.667 0.986
0.000 0.000 0.423
0.667 0.333 0.586
0.667 0.333 0.917
0.000 0.000 0.084
0.667 0.333 0.256
0.000 0.000 0.749
```

As for the crystal system: trigonal. The total energy is -7.30 eV per atom. The symmetry is P3m1, No. 156.

---

Here is Zr3Al2ZnIr2Pd after structural relaxation from OQMD via LeMat-Bulk. Energies are from GGA-PBE.

```
Zr3Al2ZnIr2Pd
1.0
3.483 0.000 0.000
0.000 6.234 3.643
0.000 -6.234 3.643
Al Ir Pd Zn Zr
2 2 1 1 3
Direct
0.500 0.262 0.003
0.500 0.003 0.262
0.500 0.665 0.326
0.500 0.326 0.665
0.000 0.007 0.007
0.500 0.734 0.734
0.000 0.415 0.415
0.000 0.996 0.592
0.000 0.592 0.996
```

As for the crystal system: orthorhombic. The total energy is -7.18 eV per atom. The symmetry is Amm2, No. 38.

---

Here is Zr3AlZn2Ir2Pd after structural relaxation from OQMD via LeMat-Bulk. Energies are from GGA-PBE.

```
Zr3AlZn2Ir2Pd
1.0
-1.513 -1.721 -2.607
-1.858 -5.309 4.582
-4.441 5.623 -1.136
Al Ir Pd Zn Zr
1 2 1 2 3
Direct
0.000 0.740 0.740
0.000 0.668 0.341
0.000 0.341 0.668
0.500 0.993 0.993
0.000 0.997 0.263
0.000 0.263 0.997
0.500 0.590 0.004
0.500 0.402 0.402
0.500 0.004 0.590
```

As for the crystal system: orthorhombic. The total energy is -6.83 eV per atom. The symmetry is Amm2, No. 38.

---

Here is PmAlIr after structural relaxation from OQMD via LeMat-Bulk. Energies are from GGA-PBE.

```
PmAlIr
1.0
2.311 1.334 3.773
-2.311 1.334 3.773
0.000 -2.668 3.773
Al Ir Pm
1 1 1
Direct
0.750 0.750 0.750
0.000 0.000 0.000
0.250 0.250 0.250
```

As for the crystal system: cubic. The total energy is -6.31 eV per atom. The calculation puts the energy above the lowest structure with this stoichiometry at 7.13 kcal/mol of atoms. The symmetry is F-43m, No. 216.

---

Here is PmAl2Ir after structural relaxation from OQMD via LeMat-Bulk. Energies are from GGA-PBE.

```
PmAl2Ir
1.0
1.405 2.331 -5.017
-1.703 1.878 5.114
6.857 0.436 2.123
Al Ir Pm
4 2 2
Direct
0.162 0.838 0.057
0.162 0.838 0.443
0.838 0.162 0.557
0.838 0.162 0.943
0.715 0.285 0.250
0.285 0.715 0.750
0.438 0.562 0.250
0.562 0.438 0.750
```

As for the crystal system: orthorhombic. The total energy is -6.08 eV per atom. The symmetry is Cmcm, No. 63.

---

Here is PmAlIr after structural relaxation from OQMD via LeMat-Bulk. Energies are from GGA-PBE.

```
PmAlIr
1.0
-4.653 1.129 5.673
-3.570 -0.086 -2.911
-0.584 -7.054 0.925
Al Ir Pm
4 4 4
Direct
0.814 0.750 0.109
0.314 0.750 0.391
0.686 0.250 0.609
0.186 0.250 0.891
0.155 0.750 0.070
0.655 0.750 0.430
0.345 0.250 0.570
0.845 0.250 0.930
0.528 0.250 0.185
0.028 0.250 0.315
0.972 0.750 0.685
0.472 0.750 0.815
```

As for the crystal system: orthorhombic. The total energy is -6.62 eV per atom. The calculation puts the energy above the lowest structure with this stoichiometry at 0.00 kcal/mol of atoms. The symmetry is Pnma, No. 62.